(1)
Entry from Alexandria via LeMat-Bulk: crystalline Th3Si8Rh3 at its relaxed geometry (PBE-GGA).

final energy = -6.8688 eV/atom
size of the total moment = 0.00 μB per cell
energy relative to the elements, uncorrected = -605 meV/atom
space-group type = Immm, No. 71

a b c (Å): 7.966 7.966 7.966
angles (deg): 149.24 103.66 84.52
Positions (direct):
1 Th 0.000 0.000 0.000
2 Th 0.304 0.304 0.000
3 Th 0.696 0.696 0.000
4 Si 0.024 0.663 0.362
5 Si 0.159 0.875 0.285
6 Si 0.301 0.663 0.638
7 Si 0.410 0.125 0.285
8 Si 0.590 0.875 0.715
9 Si 0.699 0.337 0.362
10 Si 0.841 0.125 0.715
11 Si 0.976 0.337 0.638
12 Rh 0.287 0.500 0.787
13 Rh 0.500 0.000 0.500
14 Rh 0.713 0.500 0.213

(2)
Entry from Alexandria via LeMat-Bulk: crystalline HfSc3P at its relaxed geometry (PBE-GGA).

energy above the most stable polymorph in this dataset = 1155 meV per atom
final energy = -5.9276 eV/atom
size of the total moment = 0.00 μB per cell
space-group type = Pm-3m, No. 221
formation energy from the elements = 0.944 eV per atom

a b c (Å): 5.083 5.083 5.083
angles (deg): 90.00 90.00 90.00
Positions (direct):
1 Hf 0.000 0.000 0.000
2 Sc 0.000 0.000 0.500
3 Sc 0.000 0.500 0.000
4 Sc 0.500 0.000 0.000
5 P 0.500 0.500 0.500

(3)
Entry from Alexandria via LeMat-Bulk: crystalline LaPr2Nd6 at its relaxed geometry (PBE-GGA).

energy above the most stable polymorph in this dataset = 0 meV per atom
final energy = -4.7418 eV/atom
size of the total moment = 0.00 μB per cell
space-group type = Cmmm, No. 65
formation energy from the elements = 0.046 eV per atom

a b c (Å): 10.154 10.154 3.596
angles (deg): 90.00 90.00 120.27
Positions (direct):
1 La 0.000 0.000 0.000
2 Pr 0.333 0.667 0.000
3 Pr 0.667 0.333 0.000
4 Nd 0.001 0.335 0.500
5 Nd 0.333 0.333 0.500
6 Nd 0.335 0.001 0.500
7 Nd 0.665 0.999 0.500
8 Nd 0.667 0.667 0.500
9 Nd 0.999 0.665 0.500

Which of these has the highest final energy? LaPr2Nd6